Entry 1:
# Tb2Pr7Tl2

An optimized crystal structure of Tb2Pr7Tl2 (PBE-GGA, the Alexandria database).

Unit cell a=3.7315 b=11.6460 c=11.6460 alpha=50.88 beta=80.78 gamma=80.78
Closest atoms and distances in Å follow each position.
Sites, in units of the cell vectors:
1 Pr 0.5000 0.0462 0.9538  3 Tb 3.51-3.73, 2 Pr 3.73
2 Pr 0.1618 0.7279 0.9485  3 Tl 3.31-3.46, 2 Pr 3.62
3 Pr 0.8382 0.0515 0.2721  3 Tl 3.31-3.46, 2 Pr 3.62
4 Tl 0.2566 0.3486 0.1381  7 Pr 3.23-3.46
5 Pr 0.8673 0.3942 0.8713  2 Tl 3.34, 2 Tb 3.59, 2 Pr 3.73
6 Pr 0.1327 0.1287 0.6058  2 Tl 3.34, 2 Tb 3.59, 2 Pr 3.73
7 Tb 0.5000 0.3967 0.6033  7 Pr 3.29-3.59
8 Tl 0.7434 0.8619 0.6514  7 Pr 3.23-3.46
9 Pr 0.6297 0.4576 0.2830  2 Tl 3.23, 3 Tb 3.29-3.54
10 Pr 0.3703 0.7170 0.5424  2 Tl 3.23, 3 Tb 3.29-3.54
11 Tb 0.0000 0.7237 0.2763  8 Pr 3.54-3.74, 4 Tb 3.73-3.77

Formation energy from the elements (kJ/mol of atoms): -3
M_tot (μB/f.u.): 0.00
Calculated volume (Å³/atom): 35.13



Entry 2:
# SrCuF2

An optimized crystal structure of SrCuF2 (PBE-GGA, the Alexandria database).

Unit cell a=4.4562 b=4.4562 c=4.4562 alpha=60.00 beta=60.00 gamma=60.00
Closest atoms and distances in Å follow each position.
Sites, in units of the cell vectors:
1 F 0.2500 0.2500 0.2500  4 Cu 2.73, 4 Sr 2.73
2 Cu 0.0000 0.0000 0.0000  8 F 2.73
3 Sr 0.5000 0.5000 0.5000  8 F 2.73
4 F 0.7500 0.7500 0.7500  4 Cu 2.73, 4 Sr 2.73

M_tot (μB/f.u.): 0.48
Calculated volume (Å³/atom): 15.64
Raw formation energy (eV per atom): -1.938
ΔE to the lowest computed polymorph (meV/atom): 254.5



Entry 3:
# CsSiTeCSe

An optimized crystal structure of CsSiTeCSe (PBE-GGA, the Alexandria database).

Unit cell a=6.9713 b=3.2688 c=16.3028 alpha=90.00 beta=108.38 gamma=90.00
Closest atoms and distances in Å follow each position.
Sites, in units of the cell vectors:
1 C 0.5629 0.5000 0.5233  2 Si 1.83
2 Si 0.4827 0.5000 0.9742  2 C 1.83
3 Se 0.2236 0.5000 0.8525  1 Si 2.22
4 Te 0.7919 0.5000 0.6496  1 C 2.17
5 Te 0.7919 0.0000 0.1496  1 C 2.17
6 Se 0.2236 0.0000 0.3525  1 Si 2.22
7 C 0.5629 0.0000 0.0233  2 Si 1.83
8 Cs 0.3166 0.5000 0.1698  2 Cs 3.27, 2 Se 3.63
9 Cs 0.3166 0.0000 0.6698  2 Cs 3.27, 2 Se 3.63
10 Si 0.4827 0.0000 0.4742  2 C 1.83

M_tot (μB/f.u.): 0.13
Calculated volume (Å³/atom): 35.26
Raw formation energy (eV per atom): 0.029
ΔE to the lowest computed polymorph (meV/atom): 23.3



What did the third record say?
# CsSiTeCSe

An optimized crystal structure of CsSiTeCSe (PBE-GGA, the Alexandria database).

Unit cell a=6.9713 b=3.2688 c=16.3028 alpha=90.00 beta=108.38 gamma=90.00
Closest atoms and distances in Å follow each position.
Sites, in units of the cell vectors:
1 C 0.5629 0.5000 0.5233  2 Si 1.83
2 Si 0.4827 0.5000 0.9742  2 C 1.83
3 Se 0.2236 0.5000 0.8525  1 Si 2.22
4 Te 0.7919 0.5000 0.6496  1 C 2.17
5 Te 0.7919 0.0000 0.1496  1 C 2.17
6 Se 0.2236 0.0000 0.3525  1 Si 2.22
7 C 0.5629 0.0000 0.0233  2 Si 1.83
8 Cs 0.3166 0.5000 0.1698  2 Cs 3.27, 2 Se 3.63
9 Cs 0.3166 0.0000 0.6698  2 Cs 3.27, 2 Se 3.63
10 Si 0.4827 0.0000 0.4742  2 C 1.83

M_tot (μB/f.u.): 0.13
Calculated volume (Å³/atom): 35.26
Raw formation energy (eV per atom): 0.029
ΔE to the lowest computed polymorph (meV/atom): 23.3



What is the calculated volume in the first record? 35.13 Å³/atom



What is the formula in the second record? SrCuF2